Entry 1:
Na3InBr6, relaxed, DFT GGA-PBE; uncorrected formation energy = -1.214 eV/atom; energy above the lowest structure with this stoichiometry = 26.2 meV/atom
1.0
-7.321 -1.144 -1.504
2.037 -0.104 -9.837
0.849 -9.517 3.103
Na In Br
6 2 12
Direct
0.433 0.866 0.672
0.933 0.672 0.866
0.345 0.447 0.553
0.845 0.553 0.447
0.933 0.134 0.328
0.433 0.328 0.134
0.087 0.200 0.800
0.587 0.800 0.200
0.123 0.701 0.632
0.623 0.632 0.701
0.203 0.448 0.887
0.703 0.887 0.448
0.277 0.067 0.933
0.758 0.179 0.821
0.258 0.821 0.179
0.777 0.933 0.067
0.203 0.113 0.552
0.703 0.552 0.113
0.123 0.368 0.299
0.623 0.299 0.368

***

Entry 2:
TaCoTe2, relaxed, DFT GGA-PBE; uncorrected formation energy = -0.394 eV/atom
1.0
4.017 -0.001 0.038
2.009 3.478 0.038
-0.082 -0.047 7.192
Te Co Ta
2 1 1
Direct
0.958 0.958 0.135
0.626 0.626 0.651
0.625 0.625 0.298
0.292 0.292 0.416

***

Entry 3:
Tl2AgSb2, relaxed, DFT GGA-PBE; uncorrected formation energy = 0.263 eV/atom; energy above the lowest structure with this stoichiometry = 237.7 meV/atom
1.0
7.737 0.000 0.000
0.000 7.737 0.000
0.000 0.000 5.113
Sb Tl Ag
4 4 2
Direct
0.128 0.628 0.500
0.628 0.872 0.500
0.872 0.372 0.500
0.372 0.128 0.500
0.331 0.831 0.000
0.831 0.669 0.000
0.669 0.169 0.000
0.169 0.331 0.000
0.000 0.000 0.000
0.500 0.500 0.000

***

Entry 4:
TmZn2Au4, relaxed, DFT GGA-PBE; DFT total energy = -3.371 eV/atom
1.0
4.610 0.000 2.661
2.305 4.923 1.331
-0.156 0.000 5.594
Tm Zn Au
1 2 4
Direct
0.000 0.000 0.000
0.750 0.500 0.500
0.250 0.500 0.500
0.702 0.000 0.596
0.298 0.000 0.404
0.298 0.404 0.000
0.702 0.596 0.000

***

Entry 5:
B2C, relaxed, DFT GGA-PBE; energy above the lowest structure with this stoichiometry = 262.0 meV/atom
1.0
2.707 0.000 0.000
0.000 3.699 0.000
0.000 0.000 8.753
B C
8 4
Direct
0.500 0.554 0.000
0.000 0.877 0.000
0.000 0.986 0.800
0.500 0.137 0.899
0.500 0.540 0.374
0.000 0.986 0.200
0.500 0.137 0.101
0.500 0.540 0.626
0.000 0.751 0.347
0.000 0.751 0.653
0.000 0.005 0.500
0.500 0.235 0.500

***

Entry 6:
Na2LiRu2O6, relaxed, DFT GGA-PBE; uncorrected formation energy = -1.322 eV/atom
1.0
-1.902 -0.790 -4.592
-2.337 -2.265 3.838
-2.205 5.214 0.798
Na Li Ru O
2 1 2 6
Direct
0.828 0.172 0.000
0.172 0.828 0.000
0.000 0.000 0.500
0.353 0.647 0.500
0.647 0.353 0.500
0.717 0.717 0.732
0.042 0.400 0.683
0.283 0.283 0.268
0.400 0.042 0.683
0.958 0.600 0.317
0.600 0.958 0.317

***

Entry 7:
NbHgS2, relaxed, DFT GGA-PBE; uncorrected formation energy = -0.396 eV/atom
1.0
7.406 0.000 0.000
0.000 7.406 0.000
3.703 3.703 5.272
S Nb Hg
4 2 2
Direct
0.427 0.125 0.250
0.323 0.625 0.250
0.375 0.573 0.750
0.875 0.677 0.750
0.500 0.500 0.000
0.250 0.750 0.500
0.000 0.000 0.000
0.750 0.250 0.500

***

Entry 8:
Nd4TmAg, relaxed, DFT GGA-PBE; DFT total energy = -4.463 eV/atom
1.0
-2.532 0.602 2.584
-2.639 -0.198 -2.540
-1.069 -13.899 2.193
Nd Tm Ag
4 1 1
Direct
0.500 0.500 0.825
0.500 0.500 0.175
0.000 0.000 0.640
0.000 0.000 0.360
0.000 0.000 0.000
0.500 0.500 0.500

***

Entry 9:
DyCdGaPd, relaxed, DFT GGA-PBE; DFT total energy = -4.000 eV/atom
1.0
4.827 0.000 0.000
2.414 4.180 0.000
2.414 1.393 3.941
Cd Ga Pd Dy
1 1 1 1
Direct
0.000 0.000 0.000
0.750 0.750 0.750
0.250 0.250 0.250
0.500 0.500 0.500

***

Entry 10:
Zr2V2GaFe5, relaxed, DFT GGA-PBE; DFT total energy = -8.048 eV/atom
1.0
-0.975 -1.656 2.368
9.045 -2.219 2.173
0.543 7.718 5.622
Zr V Ga Fe
4 4 2 10
Direct
0.000 0.676 0.176
0.000 0.324 0.824
0.000 0.176 0.324
0.000 0.824 0.676
0.000 0.126 0.626
0.000 0.874 0.374
0.000 0.626 0.874
0.000 0.374 0.126
0.000 0.000 0.000
0.000 0.500 0.500
0.500 0.204 0.056
0.500 0.796 0.944
0.500 0.056 0.796
0.500 0.704 0.444
0.500 0.944 0.204
0.500 0.296 0.556
0.500 0.556 0.704
0.500 0.444 0.296
0.500 0.500 0.000
0.500 0.000 0.500

***

Entry 11:
La3PdBr, relaxed, DFT GGA-PBE; uncorrected formation energy = -0.344 eV/atom; energy above the lowest structure with this stoichiometry = 0.0 meV/atom
1.0
-3.366 2.256 4.088
-4.116 0.945 -3.911
-2.205 -5.210 1.061
Br Pd La
1 1 3
Direct
0.500 0.500 0.500
0.000 0.000 0.000
0.000 0.500 0.000
0.000 0.000 0.500
0.500 0.000 0.000

***

Entry 12:
KTmPb2Cl8, relaxed, DFT GGA-PBE; uncorrected formation energy = -1.667 eV/atom
1.0
-2.795 -4.656 -4.104
5.849 -2.716 -1.084
-1.211 -5.374 6.923
K Tm Pb Cl
1 1 2 8
Direct
0.000 0.000 0.500
0.000 0.000 0.000
0.500 0.500 0.751
0.500 0.500 0.249
0.158 0.774 0.213
0.691 0.760 0.000
0.842 0.226 0.213
0.842 0.226 0.787
0.309 0.240 0.000
0.158 0.774 0.787
0.640 0.722 0.500
0.360 0.278 0.500

***

Let's list total magnetization in order: 0.000 0.000 0.000 0.000 0.000 1.057 0.000 0.000 0.000 0.000 0.000 0.000 μB/f.u..